Material: Pr4HoErTm2
Method: DFT, GGA-PBE
State: relaxed

Unit cell a=5.1697 b=5.1509 c=11.2098 alpha=62.65 beta=90.00 gamma=90.00
With the nearest neighbours (Å) after each atom.
Element x y z (fractional)
Er (0.0000, 0.5000, 0.5000)  8 Pr 3.58-3.59, 4 Tm 3.65
Pr (0.0000, 0.2494, 0.2503)  2 Er 3.58, 4 Tm 3.58-3.59, 2 Ho 3.59, 4 Pr 3.65
Pr (0.5000, 0.7492, 0.2505)  4 Tm 3.58-3.59, 2 Ho 3.58-3.59, 2 Er 3.59, 4 Pr 3.65
Pr (0.0000, 0.7506, 0.7497)  2 Er 3.58, 4 Tm 3.58-3.59, 2 Ho 3.59, 4 Pr 3.65
Pr (0.5000, 0.2508, 0.7495)  4 Tm 3.58-3.59, 2 Ho 3.58-3.59, 2 Er 3.59, 4 Pr 3.65
Ho (0.5000, 0.5000, 0.0000)  8 Pr 3.58-3.59, 4 Tm 3.65
Tm (0.5000, 0.0000, 0.5000)  8 Pr 3.58-3.59, 4 Er 3.65
Tm (0.0000, 0.0000, 0.0000)  8 Pr 3.58-3.59, 4 Ho 3.65

Computed properties:
- SG = Pmmm
- formation enthalpy at 0 K (meV per atom) = 18.7
- DOS(E_F) (states/eV/cell) = 10.1
- VASP energy (eV for the cell shown) = -37.052